1.
## CuTeNF2 (GGA-PBE)

Data for a geometry-optimized CuTeNF2 structure.

a = 4.465 Å, b = 4.465 Å, c = 4.128 Å
α = 90.00°, β = 90.00°, γ = 90.00°
Sites, in units of the cell vectors:
N 0.000 0.000 0.500
Te 0.000 0.000 0.000
Cu 0.500 0.500 0.500
F 0.000 0.500 0.000
F 0.500 0.000 0.000

Calculated values
DOS at the Fermi energy	0.8	states/eV/cell
offset from the most stable computed form	3.476	kcal/mol of atoms
symmetry	P4/mmm

2.
## CsK2RbGe (GGA-PBE)

Data for a geometry-optimized CsK2RbGe structure.

a = 6.832 Å, b = 6.832 Å, c = 7.040 Å
α = 90.00°, β = 90.00°, γ = 90.00°
Sites, in units of the cell vectors:
Cs 0.500 0.500 0.500
Ge 0.000 0.000 0.000
K 0.000 0.500 0.000
K 0.500 0.000 0.000
Rb 0.000 0.000 0.500

Calculated values
DOS at the Fermi energy	3.6	states/eV/cell
symmetry	P4/mmm
ΔE_f	0.108	eV per atom

3.
## Sr2TaAl (GGA-PBE)

Data for a geometry-optimized Sr2TaAl structure.

a = 6.773 Å, b = 6.773 Å, c = 6.773 Å
α = 150.15°, β = 130.22°, γ = 59.14°
Sites, in units of the cell vectors:
Sr 0.970 0.970 0.000
Sr 0.267 0.767 0.500
Al 0.719 0.219 0.500
Ta 0.544 0.544 0.000

Calculated values
DOS at the Fermi energy	5.0	states/eV/cell
symmetry	Imm2
ΔE_f	0.530	eV per atom

4.
## YTaGa2 (GGA-PBE)

Data for a geometry-optimized YTaGa2 structure.

a = 3.155 Å, b = 3.155 Å, c = 9.530 Å
α = 80.47°, β = 80.47°, γ = 60.00°
Sites, in units of the cell vectors:
Y 0.500 0.500 0.500
Ga 0.744 0.744 0.768
Ga 0.256 0.256 0.232
Ta 0.000 0.000 0.000

Calculated values
DOS at the Fermi energy	3.5	states/eV/cell
offset from the most stable computed form	1.344	kcal/mol of atoms
symmetry	R-3m
ΔE_f	-0.049	eV per atom

5.
## LiNdTlCd (GGA-PBE)

Data for a geometry-optimized LiNdTlCd structure.

a = 5.213 Å, b = 5.213 Å, c = 5.213 Å
α = 60.00°, β = 60.00°, γ = 60.00°
Sites, in units of the cell vectors:
Tl 0.250 0.250 0.250
Li 0.000 0.000 0.000
Nd 0.500 0.500 0.500
Cd 0.750 0.750 0.750

Calculated values
DOS at the Fermi energy	2.0	states/eV/cell
symmetry	F-43m
ΔE_f	-0.329	eV per atom

6.
## Li2Zn3Ga4 (GGA-PBE)

Data for a geometry-optimized Li2Zn3Ga4 structure.

a = 5.380 Å, b = 8.179 Å, c = 7.715 Å
α = 90.00°, β = 110.41°, γ = 90.00°
Sites, in units of the cell vectors:
Li 0.098 0.576 0.196
Li 0.902 0.424 0.804
Li 0.402 0.076 0.804
Li 0.598 0.924 0.196
Zn 0.000 0.000 0.000
Zn 0.500 0.500 0.000
Zn 0.503 0.750 0.506
Zn 0.997 0.250 0.494
Zn 0.497 0.250 0.494
Zn 0.003 0.750 0.506
Ga 0.687 0.750 0.873
Ga 0.813 0.250 0.127
Ga 0.313 0.250 0.127
Ga 0.187 0.750 0.873
Ga 0.181 0.995 0.362
Ga 0.819 0.005 0.638
Ga 0.319 0.495 0.638
Ga 0.681 0.505 0.362

Calculated values
DOS at the Fermi energy	4.6	states/eV/cell
offset from the most stable computed form	0.244	kcal/mol of atoms
symmetry	Cmce
ΔE_f	-0.103	eV per atom

7.
## Ca3Ce2HfSb6 (GGA-PBE)

Data for a geometry-optimized Ca3Ce2HfSb6 structure.

a = 7.671 Å, b = 7.671 Å, c = 7.737 Å
α = 99.56°, β = 99.56°, γ = 120.07°
Sites, in units of the cell vectors:
Ca 0.173 0.827 0.500
Ca 0.827 0.173 0.500
Ca 0.500 0.500 0.500
Ce 0.335 0.665 0.000
Ce 0.665 0.335 0.000
Hf 0.000 0.000 0.000
Sb 0.923 0.604 0.768
Sb 0.762 0.762 0.236
Sb 0.077 0.396 0.232
Sb 0.604 0.923 0.768
Sb 0.238 0.238 0.764
Sb 0.396 0.077 0.232

Calculated values
energy	-63.3	eV per cell
DOS at the Fermi energy	2.2	states/eV/cell
symmetry	C2/m

8.
## K3BeGe (GGA-PBE)

Data for a geometry-optimized K3BeGe structure.

a = 6.500 Å, b = 6.500 Å, c = 6.500 Å
α = 90.00°, β = 90.00°, γ = 90.00°
Sites, in units of the cell vectors:
Be 0.500 0.500 0.500
Ge 0.000 0.000 0.000
K 0.000 0.500 0.000
K 0.000 0.000 0.500
K 0.500 0.000 0.000

Calculated values
DOS at the Fermi energy	1.7	states/eV/cell
offset from the most stable computed form	0.000	kcal/mol of atoms
symmetry	Pm-3m
ΔE_f	0.770	eV per atom

9.
## SrLiAg (GGA-PBE)

Data for a geometry-optimized SrLiAg structure.

a = 6.128 Å, b = 6.128 Å, c = 3.808 Å
α = 71.90°, β = 71.90°, γ = 36.21°
Sites, in units of the cell vectors:
Sr 0.658 0.658 0.342
Ag 0.968 0.968 0.032
Li 0.373 0.373 0.627

Calculated values
DOS at the Fermi energy	1.1	states/eV/cell
offset from the most stable computed form	1.788	kcal/mol of atoms
symmetry	I4mm
ΔE_f	-0.145	eV per atom

10.
## NaNb2B (GGA-PBE)

Data for a geometry-optimized NaNb2B structure.

a = 5.388 Å, b = 5.388 Å, c = 7.631 Å
α = 69.33°, β = 69.33°, γ = 90.00°
Sites, in units of the cell vectors:
Na 0.000 0.000 0.000
Na 0.750 0.250 0.500
Nb 0.324 0.125 0.250
Nb 0.426 0.625 0.250
Nb 0.375 0.676 0.750
Nb 0.875 0.574 0.750
B 0.500 0.500 0.000
B 0.250 0.750 0.500

Calculated values
DOS at the Fermi energy	2.1	states/eV/cell
symmetry	I-42d
ΔE_f	1.240	eV per atom

11.
## TbDy2In9 (GGA-PBE)

Data for a geometry-optimized TbDy2In9 structure.

a = 4.640 Å, b = 4.640 Å, c = 13.918 Å
α = 90.00°, β = 90.00°, γ = 90.00°
Sites, in units of the cell vectors:
Tb 0.000 0.000 0.000
Dy 0.000 0.000 0.333
Dy 0.000 0.000 0.667
In 0.500 0.500 0.000
In 0.500 0.500 0.333
In 0.500 0.500 0.667
In 0.500 0.000 0.167
In 0.500 0.000 0.500
In 0.500 0.000 0.833
In 0.000 0.500 0.167
In 0.000 0.500 0.500
In 0.000 0.500 0.833

Calculated values
DOS at the Fermi energy	4.2	states/eV/cell
symmetry	P4/mmm
ΔE_f	-0.419	eV per atom

12.
## RhIO6 (GGA-PBE)

Data for a geometry-optimized RhIO6 structure.

a = 5.509 Å, b = 5.509 Å, c = 4.843 Å
α = 96.26°, β = 96.26°, γ = 127.68°
Sites, in units of the cell vectors:
Rh 0.000 0.000 0.000
I 0.500 0.500 0.500
O 0.231 0.231 0.731
O 0.396 0.137 0.252
O 0.769 0.769 0.269
O 0.863 0.604 0.748
O 0.604 0.863 0.748
O 0.137 0.396 0.252

Calculated values
energy	-39.9	eV per cell
DOS at the Fermi energy	4.4	states/eV/cell
symmetry	C2/m

13.
## CaPmZn (GGA-PBE)

Data for a geometry-optimized CaPmZn structure.

a = 6.158 Å, b = 6.179 Å, c = 6.153 Å
α = 67.12°, β = 114.15°, γ = 78.46°
Sites, in units of the cell vectors:
Zn 0.047 0.565 0.971
Zn 0.558 0.565 0.483
Ca 0.634 0.089 0.371
Ca 0.469 0.751 0.874
Pm 0.001 0.056 0.038
Pm 0.109 0.450 0.535

Calculated values
DOS at the Fermi energy	8.0	states/eV/cell
offset from the most stable computed form	1.330	kcal/mol of atoms
symmetry	Cm
ΔE_f	-0.109	eV per atom

14.
## Hf3ScRe (GGA-PBE)

Data for a geometry-optimized Hf3ScRe structure.

a = 4.777 Å, b = 4.777 Å, c = 4.777 Å
α = 90.00°, β = 90.00°, γ = 90.00°
Sites, in units of the cell vectors:
Sc 0.000 0.000 0.000
Re 0.500 0.500 0.500
Hf 0.000 0.500 0.000
Hf 0.000 0.000 0.500
Hf 0.500 0.000 0.000

Calculated values
DOS at the Fermi energy	6.5	states/eV/cell
offset from the most stable computed form	28.921	kcal/mol of atoms
symmetry	Pm-3m
ΔE_f	1.750	eV per atom

15.
## Tl2InHg3 (GGA-PBE)

Data for a geometry-optimized Tl2InHg3 structure.

a = 3.565 Å, b = 6.372 Å, c = 15.306 Å
α = 90.00°, β = 96.69°, γ = 90.00°
Sites, in units of the cell vectors:
Tl 0.163 0.750 0.326
Tl 0.837 0.250 0.674
Tl 0.999 0.750 0.997
Tl 0.001 0.250 0.003
In 0.334 0.750 0.667
In 0.666 0.250 0.333
Hg 0.419 0.495 0.839
Hg 0.581 0.505 0.161
Hg 0.419 0.005 0.839
Hg 0.581 0.995 0.161
Hg 0.751 0.750 0.502
Hg 0.249 0.250 0.498

Calculated values
DOS at the Fermi energy	3.8	states/eV/cell
offset from the most stable computed form	0.260	kcal/mol of atoms
symmetry	Cmcm
ΔE_f	0.014	eV per atom

16.
## LaPrZnTc (GGA-PBE)

Data for a geometry-optimized LaPrZnTc structure.

a = 5.148 Å, b = 5.148 Å, c = 5.148 Å
α = 60.00°, β = 60.00°, γ = 60.00°
Sites, in units of the cell vectors:
Pr 0.750 0.750 0.750
Zn 0.000 0.000 0.000
Tc 0.500 0.500 0.500
La 0.250 0.250 0.250

Calculated values
DOS at the Fermi energy	2.1	states/eV/cell
symmetry	F-43m
ΔE_f	0.002	eV per atom

17.
## NaTiPS2 (GGA-PBE)

Data for a geometry-optimized NaTiPS2 structure.

a = 4.769 Å, b = 4.769 Å, c = 4.758 Å
α = 90.00°, β = 90.00°, γ = 90.00°
Sites, in units of the cell vectors:
P 0.000 0.000 0.500
S 0.000 0.500 0.000
S 0.500 0.000 0.000
Na 0.500 0.500 0.500
Ti 0.000 0.000 0.000

Calculated values
DOS at the Fermi energy	3.5	states/eV/cell
offset from the most stable computed form	0.000	kcal/mol of atoms
symmetry	P4/mmm

18.
## Cu2PSe (GGA-PBE)

Data for a geometry-optimized Cu2PSe structure.

a = 3.410 Å, b = 5.098 Å, c = 3.629 Å
α = 90.00°, β = 90.00°, γ = 90.00°
Sites, in units of the cell vectors:
Cu 0.000 0.000 0.000
Cu 0.500 0.500 0.000
P 0.500 0.000 0.500
Se 0.000 0.500 0.500

Calculated values
energy	-15.6	eV per cell
DOS at the Fermi energy	2.3	states/eV/cell
symmetry	Pmmm

19.
## Ni7IrPt4 (GGA-PBE)

Data for a geometry-optimized Ni7IrPt4 structure.

a = 2.687 Å, b = 2.687 Å, c = 25.208 Å
α = 90.00°, β = 90.00°, γ = 120.00°
Sites, in units of the cell vectors:
Ni 0.000 0.000 0.000
Ni 0.333 0.667 0.418
Ni 0.667 0.333 0.582
Ni 0.333 0.667 0.171
Ni 0.667 0.333 0.829
Ni 0.000 0.000 0.754
Ni 0.000 0.000 0.246
Ir 0.000 0.000 0.500
Pt 0.333 0.667 0.915
Pt 0.667 0.333 0.085
Pt 0.333 0.667 0.668
Pt 0.667 0.333 0.332

Calculated values
DOS at the Fermi energy	22.8	states/eV/cell
offset from the most stable computed form	0.000	kcal/mol of atoms
symmetry	P-3m1
ΔE_f	-0.007	eV per atom

20.
## Ba2GeIrPd (GGA-PBE)

Data for a geometry-optimized Ba2GeIrPd structure.

a = 4.385 Å, b = 4.385 Å, c = 15.618 Å
α = 90.00°, β = 90.00°, γ = 90.00°
Sites, in units of the cell vectors:
Ba 0.000 0.500 0.675
Ba 0.000 0.500 0.097
Ba 0.500 0.000 0.903
Ba 0.500 0.000 0.325
Ge 0.500 0.000 0.581
Ge 0.000 0.500 0.419
Ir 0.000 0.000 0.500
Ir 0.500 0.500 0.500
Pd 0.500 0.000 0.118
Pd 0.000 0.500 0.882

Calculated values
DOS at the Fermi energy	3.5	states/eV/cell
symmetry	P4/nmm
ΔE_f	-0.514	eV per atom

21.
## NaLiThTe3 (GGA-PBE)

Data for a geometry-optimized NaLiThTe3 structure.

a = 4.568 Å, b = 11.420 Å, c = 8.063 Å
α = 101.56°, β = 90.00°, γ = 90.00°
Sites, in units of the cell vectors:
Na 0.250 0.323 0.367
Na 0.750 0.677 0.633
Li 0.250 0.074 0.634
Li 0.750 0.926 0.366
Th 0.250 0.678 0.134
Th 0.750 0.322 0.866
Te 0.750 0.825 0.017
Te 0.250 0.175 0.983
Te 0.250 0.828 0.494
Te 0.750 0.172 0.506
Te 0.750 0.504 0.231
Te 0.250 0.496 0.769

Calculated values
energy	-53.5	eV per cell
DOS at the Fermi energy	0.0	states/eV/cell
symmetry	P2_1/m

22.
## Pm5Tm2Hg4 (GGA-PBE)

Data for a geometry-optimized Pm5Tm2Hg4 structure.

a = 3.538 Å, b = 7.660 Å, c = 12.574 Å
α = 87.59°, β = 98.09°, γ = 90.00°
Sites, in units of the cell vectors:
Pm 0.140 0.871 0.280
Pm 0.860 0.129 0.720
Pm 0.233 0.214 0.466
Pm 0.500 0.000 0.000
Pm 0.767 0.786 0.534
Tm 0.908 0.694 0.816
Tm 0.092 0.306 0.184
Hg 0.666 0.524 0.333
Hg 0.032 0.663 0.065
Hg 0.334 0.476 0.667
Hg 0.968 0.337 0.935

Calculated values
DOS at the Fermi energy	14.2	states/eV/cell
symmetry	C2/m
ΔE_f	-0.117	eV per atom

23.
## Co2TcTe (GGA-PBE)

Data for a geometry-optimized Co2TcTe structure.

a = 4.621 Å, b = 4.621 Å, c = 4.621 Å
α = 130.55°, β = 130.55°, γ = 72.53°
Sites, in units of the cell vectors:
Co 0.000 0.000 0.000
Co 0.500 0.500 0.000
Tc 0.250 0.750 0.500
Te 0.750 0.250 0.500

Calculated values
energy	-26.1	eV per cell
DOS at the Fermi energy	4.3	states/eV/cell
symmetry	I4/mmm

24.
## Cu2PdAu4 (GGA-PBE)

Data for a geometry-optimized Cu2PdAu4 structure.

a = 6.776 Å, b = 6.776 Å, c = 6.776 Å
α = 109.44°, β = 109.53°, γ = 109.44°
Sites, in units of the cell vectors:
Cu 0.875 0.114 0.489
Cu 0.511 0.386 0.625
Cu 0.375 0.886 0.761
Cu 0.239 0.614 0.125
Pd 0.000 0.000 0.000
Pd 0.750 0.500 0.250
Au 0.142 0.920 0.387
Au 0.613 0.755 0.533
Au 0.972 0.580 0.717
Au 0.283 0.255 0.863
Au 0.608 0.745 0.028
Au 0.778 0.245 0.858
Au 0.467 0.080 0.222
Au 0.137 0.420 0.392

Calculated values
DOS at the Fermi energy	2.3	states/eV/cell
offset from the most stable computed form	1.937	kcal/mol of atoms
symmetry	I-42d
ΔE_f	0.084	eV per atom

25.
## CaBeBCl2 (GGA-PBE)

Data for a geometry-optimized CaBeBCl2 structure.

a = 5.258 Å, b = 5.780 Å, c = 5.258 Å
α = 90.00°, β = 90.00°, γ = 90.00°
Sites, in units of the cell vectors:
Be 0.500 0.500 0.500
Ca 0.000 0.000 0.000
B 0.000 0.500 0.000
Cl 0.000 0.000 0.500
Cl 0.500 0.000 0.000

Calculated values
energy	-13.6	eV per cell
DOS at the Fermi energy	0.1	states/eV/cell
symmetry	P4/mmm